# 1
A plane-wave DFT calculation with PBE was carried out for a geometry-optimized LiRh3F structure.

As for the density of states at the Fermi level: 8.04 states/eV/cell. Its raw formation energy is 4.8 eV per formula unit. The energy above the most stable polymorph in this dataset comes out at 0.394 eV per atom. As for the calculated volume: 14.747 Å³/atom. As for the magnetic moment: 2.55 μB per formula unit. The crystal system is cubic.

It has space group Pm-3m (No. 221), with a = 4.193 Å, b = 4.193 Å, c = 4.193 Å, α = 90.00°, β = 90.00° and γ = 90.00°. The inequivalent atoms are Li at (0.000, 0.000, 0.000), Rh at (0.000, 0.000, 0.500) and F at (0.500, 0.500, 0.500).


# 2
A plane-wave DFT calculation with PBE was carried out for a geometry-optimized Li3RhF6 structure.

As for the density of states at the Fermi level: 0.00 states/eV/cell. Its raw formation energy is -23.8 eV per formula unit. The energy above the most stable polymorph in this dataset comes out at 0.020 eV per atom. As for the calculated volume: 11.026 Å³/atom. As for the magnetic moment: 0.13 μB per formula unit. The crystal system is monoclinic.

It has space group C2/m (No. 12), with a = 9.310 Å, b = 5.470 Å, c = 4.991 Å, α = 90.00°, β = 119.82° and γ = 90.00°. The inequivalent atoms are Li at (0.000, 0.000, 0.000), Li at (0.247, 0.500, 0.175), Rh at (0.000, 0.500, 0.500), F at (0.089, 0.248, 0.838) and F at (0.225, 0.500, 0.536).


# 3
A plane-wave DFT calculation with PBE was carried out for a geometry-optimized LiRhF2 structure.

As for the density of states at the Fermi level: 9.06 states/eV/cell. Its raw formation energy is -4.4 eV per formula unit. The energy above the most stable polymorph in this dataset comes out at 0.769 eV per atom. As for the calculated volume: 11.574 Å³/atom. As for the magnetic moment: 2.02 μB per formula unit. The crystal system is cubic.

It has space group Fm-3m (No. 225), with a = 5.700 Å, b = 5.700 Å, c = 5.700 Å, α = 90.00°, β = 90.00° and γ = 90.00°. The inequivalent atoms are Li at (0.000, 0.000, 0.000), Rh at (0.000, 0.000, 0.500) and F at (0.250, 0.250, 0.250).


# 4
A plane-wave DFT calculation with PBE was carried out for a geometry-optimized Li3RhF6 structure.

As for the density of states at the Fermi level: 0.00 states/eV/cell. Its raw formation energy is -21.9 eV per formula unit. The energy above the most stable polymorph in this dataset comes out at 0.207 eV per atom. As for the calculated volume: 12.180 Å³/atom. As for the magnetic moment: 0.00 μB per formula unit. The crystal system is cubic.

It has space group Fm-3m (No. 225), with a = 7.869 Å, b = 7.869 Å, c = 7.869 Å, α = 90.00°, β = 90.00° and γ = 90.00°. The inequivalent atoms are Li at (0.000, 0.000, 0.000), Li at (0.250, 0.250, 0.250), Rh at (0.000, 0.000, 0.500) and F at (0.000, 0.000, 0.248).


# 5
A plane-wave DFT calculation with PBE was carried out for a geometry-optimized Li5RhF8 structure.

As for the density of states at the Fermi level: 25.35 states/eV/cell. Its raw formation energy is -33.0 eV per formula unit. As for the calculated volume: 10.918 Å³/atom. As for the magnetic moment: 4.01 μB per formula unit. The crystal system is cubic.

It has space group F-43m (No. 216), with a = 8.487 Å, b = 8.487 Å, c = 8.487 Å, α = 90.00°, β = 90.00° and γ = 90.00°. The inequivalent atoms are Li at (0.000, 0.000, 0.000), Li at (0.137, 0.137, 0.637), Rh at (0.250, 0.250, 0.250), F at (0.113, 0.113, 0.387) and F at (0.131, 0.131, 0.869).


# 6
A plane-wave DFT calculation with PBE was carried out for a geometry-optimized LiRh3F9 structure.

As for the density of states at the Fermi level: 8.26 states/eV/cell. Its raw formation energy is -21.0 eV per formula unit. As for the calculated volume: 12.651 Å³/atom. As for the magnetic moment: 1.06 μB per formula unit. The crystal system is monoclinic.

It has space group P2_1/m (No. 11), with a = 5.074 Å, b = 7.608 Å, c = 8.550 Å, α = 90.00°, β = 94.79° and γ = 90.00°. The inequivalent atoms are Li at (0.042, 0.250, 0.452), Rh at (0.000, 0.000, 0.000), Rh at (0.462, 0.001, 0.680), F at (0.139, 0.250, 0.976), F at (0.141, 0.571, 0.792), F at (0.244, 0.564, 0.473), F at (0.292, 0.250, 0.647), F at (0.344, 0.574, 0.117) and F at (0.366, 0.250, 0.312).


# 7
A plane-wave DFT calculation with PBE was carried out for a geometry-optimized LiRhF2 structure.

As for the density of states at the Fermi level: 12.62 states/eV/cell. Its raw formation energy is -5.5 eV per formula unit. The energy above the most stable polymorph in this dataset comes out at 0.502 eV per atom. As for the calculated volume: 13.015 Å³/atom. As for the magnetic moment: 2.00 μB per formula unit. The crystal system is tetragonal.

It has space group I-42d (No. 122), with a = 5.071 Å, b = 5.071 Å, c = 8.099 Å, α = 90.00°, β = 90.00° and γ = 90.00°. The inequivalent atoms are Li at (0.000, 0.000, 0.000), Rh at (0.000, 0.000, 0.500) and F at (0.175, 0.250, 0.125).


# 8
A plane-wave DFT calculation with PBE was carried out for a geometry-optimized LiRh2F11 structure.

As for the density of states at the Fermi level: 34.77 states/eV/cell. Its raw formation energy is -21.9 eV per formula unit. As for the calculated volume: 16.165 Å³/atom. As for the magnetic moment: 4.00 μB per formula unit. The crystal system is orthorhombic.

It has space group Ibam (No. 72), with a = 7.959 Å, b = 10.861 Å, c = 10.472 Å, α = 90.00°, β = 90.00° and γ = 90.00°. The inequivalent atoms are Li at (0.000, 0.000, 0.250), Rh at (0.222, 0.414, 0.000), F at (0.000, 0.500, 0.000), F at (0.072, 0.169, 0.500), F at (0.142, 0.311, 0.130) and F at (0.190, 0.024, 0.127).


# 9
A plane-wave DFT calculation with PBE was carried out for a geometry-optimized Li3RhF6 structure.

Its raw formation energy is -23.1 eV per formula unit. The energy above the most stable polymorph in this dataset comes out at 0.089 eV per atom. As for the calculated volume: 13.418 Å³/atom. As for the magnetic moment: 0.05 μB per formula unit. The crystal system is triclinic.

It has space group P-1 (No. 2), with a = 5.395 Å, b = 5.762 Å, c = 5.814 Å, α = 61.16°, β = 62.88° and γ = 62.74°. The inequivalent atoms are Li at (0.000, 0.000, 0.000), Li at (0.000, 0.500, 0.500), Li at (0.500, 0.000, 0.500), Rh at (0.000, 0.500, 0.000), F at (0.179, 0.811, 0.747), F at (0.225, 0.260, 0.758) and F at (0.261, 0.319, 0.240).


# 10
A plane-wave DFT calculation with PBE was carried out for a geometry-optimized Li2Rh2F7 structure.

As for the density of states at the Fermi level: 9.48 states/eV/cell. Its raw formation energy is -20.1 eV per formula unit. The energy above the most stable polymorph in this dataset comes out at 0.012 eV per atom. As for the calculated volume: 13.797 Å³/atom. As for the magnetic moment: 0.51 μB per formula unit. The crystal system is orthorhombic.

It has space group Cmc2_1 (No. 36), with a = 4.140 Å, b = 27.142 Å, c = 5.402 Å, α = 90.00°, β = 90.00° and γ = 90.00°. The inequivalent atoms are Li at (0.000, 0.084, 0.000), Li at (0.000, 0.235, 0.462), Rh at (0.000, 0.341, 0.348), Rh at (0.000, 0.448, 0.879), F at (0.000, 0.055, 0.328), F at (0.000, 0.150, 0.857), F at (0.000, 0.276, 0.158), F at (0.000, 0.296, 0.644), F at (0.000, 0.378, 0.022), F at (0.000, 0.409, 0.529) and F at (0.000, 0.484, 0.217).


# 11
A plane-wave DFT calculation with PBE was carried out for a geometry-optimized LiRhF6 structure.

As for the density of states at the Fermi level: 22.11 states/eV/cell. Its raw formation energy is -14.5 eV per formula unit. As for the calculated volume: 12.925 Å³/atom. As for the magnetic moment: 2.00 μB per formula unit. The crystal system is trigonal.

It has space group R-3 (No. 148, hexagonal axes), with a = 5.1111 Å, b = 5.1111 Å, c = 13.7115 Å, α = 90.00°, β = 90.00° and γ = 120.00°. The inequivalent atoms are Li at (0.0000, 0.0000, 0.0000), Rh at (0.0000, 0.0000, 0.5000) and F at (0.0139, 0.3804, 0.2470).


# 12
A plane-wave DFT calculation with PBE was carried out for a geometry-optimized LiRhF2 structure.

As for the density of states at the Fermi level: 7.37 states/eV/cell. Its raw formation energy is -7.5 eV per formula unit. The energy above the most stable polymorph in this dataset comes out at 0.000 eV per atom. As for the calculated volume: 10.514 Å³/atom. As for the magnetic moment: 0.30 μB per formula unit. The crystal system is trigonal.

It has space group R-3m (No. 166, hexagonal axes), with a = 2.7779 Å, b = 2.7779 Å, c = 18.8788 Å, α = 90.00°, β = 90.00° and γ = 120.00°. The inequivalent atoms are Li at (0.0000, 0.0000, 0.0000), Rh at (0.0000, 0.0000, 0.5000) and F at (0.0000, 0.0000, 0.3930).